VASP calculation (PBE-GGA) on SmPu2 after structural relaxation.

Structure (POSCAR):
```
SmPu2
1.0
6.204 0.000 0.000
3.102 5.373 0.000
3.102 1.791 5.065
Sm Pu
2 4
Direct
0.250 0.250 0.250
0.000 0.000 0.000
0.625 0.625 0.125
0.625 0.125 0.625
0.125 0.625 0.625
0.625 0.625 0.625
```

## Properties
DFT total energy = -10.89 eV/atom
E_form = 241.1 meV per atom
Symmetry = Fd-3m, No. 227